Entry 1:
VASP calculation (GGA-PBE) on a relaxed structure of NbIBr2.

Results
Calculated density: 5.18 g/cm3
Magnetic moment: 0.6 Bohr magnetons per cell
Crystal system: triclinic
ΔE_f (raw): -19 kJ per mole of atoms
Space-group type: P1
Energy above the lowest structure with this stoichiometry: 1.91 eV per formula unit
V: 121.6 Å³ per cell

a = 3.375 Å, b = 3.372 Å, c = 12.044 Å
α = 88.85°, β = 91.06°, γ = 117.48°
Site moments in Bohr magnetons follow the coordinates.
Atoms (fractional coordinates):
Br1 0.058 0.962 0.777  -0.03
Nb1 0.047 0.975 0.578  -0.40
Br2 0.381 0.643 0.426  0.00
I1 0.756 0.305 0.109  0.00

Entry 2:
VASP calculation (GGA-PBE) on a relaxed structure of NbIBr3.

Results
Calculated density: 4.09 g/cm3
Magnetic moment: 3.8 Bohr magnetons per cell
Crystal system: monoclinic
ΔE_f (raw): -51 kJ per mole of atoms
Space-group type: Cm
Energy above the lowest structure with this stoichiometry: 0.57 eV per formula unit
V: 373.4 Å³ per cell

a = 6.982 Å, b = 7.665 Å, c = 8.921 Å
α = 89.99°, β = 72.85°, γ = 56.71°
Site moments in Bohr magnetons follow the coordinates.
Atoms (fractional coordinates):
Br1 0.111 0.178 0.893  -0.02
I1 0.632 0.639 0.719  0.18
Nb1 0.152 0.879 0.699  1.45
Nb2 0.415 0.247 0.698  1.23
Br2 0.877 0.016 0.505  -0.02
Br3 0.662 0.124 0.892  -0.03
I2 0.474 0.718 0.105  0.32
Br4 0.111 0.620 0.893  -0.02
Br5 0.348 0.510 0.495  -0.01
Br6 0.348 0.052 0.495  -0.01

Entry 3:
VASP calculation (GGA-PBE) on a relaxed structure of NbIBr2.

Results
Calculated density: 4.95 g/cm3
Magnetic moment: 4.0 Bohr magnetons per cell
Crystal system: tetragonal
ΔE_f (raw): -31 kJ per mole of atoms
Space-group type: I-42d
Energy above the lowest structure with this stoichiometry: 1.42 eV per formula unit
V: 254.7 Å³ per cell

a = 9.330 Å, b = 9.330 Å, c = 7.217 Å
α = 49.73°, β = 49.73°, γ = 90.00°
Site moments in Bohr magnetons follow the coordinates.
Atoms (fractional coordinates):
Br1 0.375 0.507 0.750  -0.03
Nb1 0.250 0.750 0.500  1.74
Nb2 0.500 0.500 0.000  1.74
I1 0.750 0.250 0.500  -0.01
Br2 0.257 0.625 0.250  -0.03
I2 0.000 0.000 0.000  -0.01
Br3 0.493 0.125 0.250  -0.03
Br4 0.875 0.743 0.750  -0.03

Entry 4:
VASP calculation (GGA-PBE) on a relaxed structure of NbI2Br8.

Results
Calculated density: 3.56 g/cm3
Magnetic moment: 0.0 Bohr magnetons per cell
Crystal system: monoclinic
ΔE_f (raw): -43 kJ per mole of atoms
Space-group type: C2/m
V: 459.3 Å³ per cell

a = 7.749 Å, b = 9.278 Å, c = 9.278 Å
α = 47.41°, β = 71.10°, γ = 71.10°
Atoms (fractional coordinates):
I1 0.470 0.746 0.746
Br1 0.031 0.335 0.863
Br2 0.560 0.586 0.586
Br3 0.031 0.863 0.335
Br4 0.969 0.665 0.137
Br5 0.366 0.925 0.925
Nb1 0.000 0.000 0.000
I2 0.530 0.254 0.254
Br6 0.969 0.137 0.665
Br7 0.440 0.414 0.414
Br8 0.634 0.075 0.075

> V of number 1 (NbIBr2)?

121.6 Å³ per cell